A relaxed Ac2InSi3Au4 crystal. Source: the Alexandria database, functional PBE.

## Properties
energy relative to the elements, uncorrected = -5.866 eV per formula unit
volume = 22.09 Å³ per atom
E = -46.2 eV per cell

a b c (Å): 4.5064 4.5064 10.8777
angles (deg): 90.00 90.00 90.00
Closest atoms and distances in Å follow each position.
Atoms (fractional coordinates):
Ac 0.0000 0.5000 0.2376  6 Si 3.42-3.64, 8 Au 3.42-3.43, 2 In 3.64
Ac 0.5000 0.0000 0.7624  6 Si 3.42-3.64, 8 Au 3.42-3.43, 2 In 3.64
In 0.0000 0.0000 0.5000  4 Au 2.76
Si 0.0000 0.5000 0.8760  5 Au 2.49-2.63
Si 0.5000 0.0000 0.1240  5 Au 2.49-2.63
Si 0.5000 0.5000 0.5000  4 Au 2.76
Au 0.0000 0.0000 0.0000  4 Si 2.63
Au 0.0000 0.5000 0.6473  3 Si 2.49-2.76, 2 In 2.76
Au 0.5000 0.0000 0.3527  3 Si 2.49-2.76, 2 In 2.76
Au 0.5000 0.5000 0.0000  4 Si 2.63